Entry 1:
MoAsPdBr2 | GGA-PBE | optimized geometry

Unit cell a=5.1229 b=5.1229 c=4.8572 alpha=90.00 beta=90.00 gamma=90.00
Last column: nearest neighbours and their distance in Å.
Fractional coordinates of all 5 atoms:
Mo (0.0000, 0.0000, 0.0000)  2 As 2.43, 4 Br 2.56
As (0.0000, 0.0000, 0.5000)  2 Mo 2.43
Pd (0.5000, 0.5000, 0.5000)  8 Br 3.53, 4 As 3.62
Br (0.0000, 0.5000, 0.0000)  2 Mo 2.56
Br (0.5000, 0.0000, 0.0000)  2 Mo 2.56

Values from the calculation:
Total moment in μB/f.u.: 0.415
Formation energy (no corrections) in eV/atom: 0.59
Space-group type: P4/mmm, No. 123
Energy relative to the lowest polymorph listed for this composition in eV/atom: 0.000
DOS at the Fermi energy in states/eV per atom: 1.024


Entry 2:
YInS2 | GGA-PBE | optimized geometry

Unit cell a=7.9520 b=7.9520 c=7.9520 alpha=29.03 beta=29.03 gamma=29.03
Last column: nearest neighbours and their distance in Å.
Fractional coordinates of all 4 atoms:
Y (0.0000, 0.0000, 0.0000)  6 S 2.74-2.78
In (0.8294, 0.8294, 0.8294)  6 S 3.15-3.33
S (0.4016, 0.4016, 0.4016)  3 Y 2.78
S (0.6016, 0.6016, 0.6016)  3 Y 2.74

Values from the calculation:
Total moment in μB/f.u.: 0.000
Formation energy (no corrections) in eV/atom: -1.39
Space-group type: R3m, No. 160


Entry 3:
EuY2Ho | GGA-PBE | optimized geometry

Unit cell a=5.7580 b=5.7580 c=5.7580 alpha=60.00 beta=60.00 gamma=60.00
Last column: nearest neighbours and their distance in Å.
Fractional coordinates of all 4 atoms:
Eu (0.0000, 0.0000, 0.0000)  8 Y 3.53
Y (0.2500, 0.2500, 0.2500)  4 Ho 3.53, 4 Eu 3.53
Y (0.7500, 0.7500, 0.7500)  4 Ho 3.53, 4 Eu 3.53
Ho (0.5000, 0.5000, 0.5000)  8 Y 3.53

Values from the calculation:
Total moment in μB/f.u.: 8.159
Space-group type: Fm-3m, No. 225
Formation enthalpy at 0 K in meV per atom: 159
Energy relative to the lowest polymorph listed for this composition in eV/atom: 0.099
DOS at the Fermi energy in states/eV per atom: 2.011


Entry 4:
PuPbSO2 | GGA-PBE | optimized geometry

Unit cell a=6.6137 b=3.9051 c=8.1255 alpha=90.00 beta=110.17 gamma=90.00
Last column: nearest neighbours and their distance in Å.
Fractional coordinates of all 10 atoms:
Pu (0.1963, 0.2500, 0.4440)  4 O 2.22-2.32
Pu (0.8037, 0.7500, 0.5560)  4 O 2.22-2.32
Pb (0.2033, 0.2500, 0.9426)  4 O 2.36-2.56
Pb (0.7967, 0.7500, 0.0574)  4 O 2.36-2.56
S (0.4564, 0.7500, 0.6682)  3 Pu 2.75-2.82, 1 O 3.06
S (0.5436, 0.2500, 0.3318)  3 Pu 2.75-2.82, 1 O 3.06
O (0.0066, 0.7500, 0.3879)  3 Pu 2.22-2.28
O (0.0163, 0.2500, 0.1428)  1 Pu 2.32, 3 Pb 2.36-2.39
O (0.9837, 0.7500, 0.8572)  1 Pu 2.32, 3 Pb 2.36-2.39
O (0.9934, 0.2500, 0.6121)  3 Pu 2.22-2.28

Values from the calculation:
Total moment in μB/f.u.: 4.000
Formation energy (no corrections) in eV/atom: -1.85
Space-group type: P2_1/m, No. 11
DOS at the Fermi energy in states/eV per atom: 1.413


What did the second record say?
YInS2 | GGA-PBE | optimized geometry

Unit cell a=7.9520 b=7.9520 c=7.9520 alpha=29.03 beta=29.03 gamma=29.03
Last column: nearest neighbours and their distance in Å.
Fractional coordinates of all 4 atoms:
Y (0.0000, 0.0000, 0.0000)  6 S 2.74-2.78
In (0.8294, 0.8294, 0.8294)  6 S 3.15-3.33
S (0.4016, 0.4016, 0.4016)  3 Y 2.78
S (0.6016, 0.6016, 0.6016)  3 Y 2.74

Values from the calculation:
Total moment in μB/f.u.: 0.000
Formation energy (no corrections) in eV/atom: -1.39
Space-group type: R3m, No. 160


> Number 3 is which compound?

EuY2Ho


Repeat the first record exactly.
MoAsPdBr2 | GGA-PBE | optimized geometry

Unit cell a=5.1229 b=5.1229 c=4.8572 alpha=90.00 beta=90.00 gamma=90.00
Last column: nearest neighbours and their distance in Å.
Fractional coordinates of all 5 atoms:
Mo (0.0000, 0.0000, 0.0000)  2 As 2.43, 4 Br 2.56
As (0.0000, 0.0000, 0.5000)  2 Mo 2.43
Pd (0.5000, 0.5000, 0.5000)  8 Br 3.53, 4 As 3.62
Br (0.0000, 0.5000, 0.0000)  2 Mo 2.56
Br (0.5000, 0.0000, 0.0000)  2 Mo 2.56

Values from the calculation:
Total moment in μB/f.u.: 0.415
Formation energy (no corrections) in eV/atom: 0.59
Space-group type: P4/mmm, No. 123
Energy relative to the lowest polymorph listed for this composition in eV/atom: 0.000
DOS at the Fermi energy in states/eV per atom: 1.024